# LuSbPO, optimized geometry, DFT PBE
data_LuSbPO
_chemical_formula_sum 'Lu1 Sb1 P1 O1'
_cell_length_a 3.759
_cell_length_b 3.759
_cell_length_c 5.229
_cell_angle_alpha 90.00
_cell_angle_beta 90.00
_cell_angle_gamma 90.00
_space_group_name_H-M_alt 'P 4/m m m'
_space_group_IT_number 123
_space_group_name_Hall '-P 4 2'
loop_
_atom_site_label
_atom_site_fract_x
_atom_site_fract_y
_atom_site_fract_z
_atom_site_occupancy
Lu1 0.000 0.000 0.000 1
Sb1 0.500 0.500 0.500 1
P1 0.500 0.500 0.000 1
O1 0.000 0.000 0.500 1
# **Calculated volume**: 73.9 Å³ per cell
# **Raw total energy**: -5.6968 eV per atom
# **Spin magnetization**: 0.00 μB per formula unit
# **Energy above the most stable polymorph in this dataset**: 344 meV per atom